An optimized crystal structure of NdGdSbI2, computed with PBE-GGA.

Summary:
VASP energy (eV/atom): -4.64
Theoretical density (Mg/m³): 5.837
Space-group type: No. 156

a b c (Å): 4.4145 4.4145 11.4118
angles (deg): 90.00 90.00 120.00
Closest atoms and distances in Å follow each position.
Fractional positions:
Nd1 0.0000 0.0000 0.0000  3 Sb 3.12, 3 I 3.25
Gd1 0.6667 0.3333 0.6961  3 Sb 3.05, 3 I 3.20
Sb1 0.3333 0.6667 0.8427  3 Gd 3.05, 3 Nd 3.12
I1 0.0000 0.0000 0.5262  3 Gd 3.20
I2 0.6667 0.3333 0.1772  3 Nd 3.25

An optimized crystal structure of NdGdSi2I2, computed with PBE-GGA.

Summary:
VASP energy (eV/atom): -4.95
Theoretical density (Mg/m³): 5.448
Space-group type: No. 156

a b c (Å): 4.1639 4.1639 12.4135
angles (deg): 90.00 90.00 120.00
Closest atoms and distances in Å follow each position.
Fractional positions:
Nd1 0.0000 0.0000 0.0000  6 Si 3.08-3.17, 3 I 3.22
Gd1 0.0000 0.0000 0.6862  6 Si 3.02-3.11, 3 I 3.17
Si1 0.3333 0.6667 0.8454  3 Si 2.41
Si2 0.6667 0.3333 0.8332  3 Si 2.41
I1 0.3333 0.6667 0.5202  3 Gd 3.17
I2 0.6667 0.3333 0.1730  3 Nd 3.22

An optimized crystal structure of GdI3O9, computed with PBE-GGA.

Summary:
Theoretical density (Mg/m³): 6.098
Distance to the lowest polymorph of the same formula (meV per atom): 0.0
Space-group type: No. 14

a b c (Å): 8.6657 5.8027 16.2827
angles (deg): 90.00 114.88 90.00
Closest atoms and distances in Å follow each position.
Fractional positions:
Gd1 0.1383 0.2318 0.0995  8 O 2.31-2.58
Gd2 0.1383 0.2682 0.5995  8 O 2.31-2.58
Gd3 0.8617 0.7318 0.4005  8 O 2.31-2.58
Gd4 0.8617 0.7682 0.9005  8 O 2.31-2.58
I1 0.0749 0.1872 0.3490  3 O 1.84-1.86
I2 0.0749 0.3128 0.8490  3 O 1.84-1.86
I3 0.3623 0.6500 0.5245  3 O 1.85-1.89
I4 0.3623 0.8500 0.0245  3 O 1.85-1.89
I5 0.4171 0.5965 0.7982  3 O 1.83-1.86
I6 0.4171 0.9035 0.2982  3 O 1.83-1.86
I7 0.5829 0.0965 0.7018  3 O 1.83-1.86
I8 0.5829 0.4035 0.2018  3 O 1.83-1.86
I9 0.6377 0.1500 0.9755  3 O 1.85-1.89
I10 0.6377 0.3500 0.4755  3 O 1.85-1.89
I11 0.9251 0.6872 0.1510  3 O 1.84-1.86
I12 0.9251 0.8128 0.6510  3 O 1.84-1.86
O1 0.0624 0.0625 0.7054  1 I 1.85
O2 0.0624 0.4375 0.2054  1 I 1.85
O3 0.0963 0.0856 0.4605  1 I 1.84
O4 0.0963 0.4144 0.9605  1 I 1.84
O5 0.1014 0.6055 0.6733  1 I 1.86
O6 0.1014 0.8945 0.1733  1 I 1.86
O7 0.1313 0.5971 0.4913  1 I 1.87
O8 0.1313 0.9029 0.9913  1 I 1.87
O9 0.3363 0.5930 0.8866  1 I 1.85
O10 0.3363 0.9070 0.3866  1 I 1.85
O11 0.3432 0.1954 0.2571  1 I 1.83
O12 0.3432 0.3046 0.7571  1 I 1.83
O13 0.3581 0.0882 0.9447  1 I 1.89
O14 0.3581 0.4118 0.4447  1 I 1.89
O15 0.3623 0.5065 0.1328  1 I 1.86
O16 0.3623 0.9935 0.6328  1 I 1.86
O17 0.4040 0.0343 0.1243  1 I 1.85
O18 0.4040 0.4657 0.6243  1 I 1.85
O19 0.5960 0.5343 0.3757  1 I 1.85
O20 0.5960 0.9657 0.8757  1 I 1.85
O21 0.6377 0.0065 0.3672  1 I 1.86
O22 0.6377 0.4935 0.8672  1 I 1.86
O23 0.6419 0.5882 0.5553  1 I 1.89
O24 0.6419 0.9118 0.0553  1 I 1.89
O25 0.6568 0.6954 0.2429  1 I 1.83
O26 0.6568 0.8046 0.7429  1 I 1.83
O27 0.6637 0.0930 0.6134  1 I 1.85
O28 0.6637 0.4070 0.1134  1 I 1.85
O29 0.8687 0.0971 0.0087  1 I 1.87
O30 0.8687 0.4029 0.5087  1 I 1.87
O31 0.8986 0.1055 0.8267  1 I 1.86
O32 0.8986 0.3945 0.3267  1 I 1.86
O33 0.9037 0.5856 0.0395  1 I 1.84
O34 0.9037 0.9144 0.5395  1 I 1.84
O35 0.9376 0.5625 0.7946  1 I 1.85
O36 0.9376 0.9375 0.2946  1 I 1.85

An optimized crystal structure of GdIO, computed with PBE-GGA.

Summary:
VASP energy (eV/atom): -6.42
Theoretical density (Mg/m³): 6.232
Space-group type: No. 12

a b c (Å): 10.2879 10.2879 7.8009
angles (deg): 93.72 93.72 22.85
Closest atoms and distances in Å follow each position.
Fractional positions:
Gd1 0.1948 0.1948 0.1167  4 O 2.26-2.29
Gd2 0.1957 0.1957 0.6144  4 O 2.27-2.30
Gd3 0.8043 0.8043 0.3856  4 O 2.27-2.30
Gd4 0.8052 0.8052 0.8833  4 O 2.26-2.29
I1 0.0760 0.0760 0.8419  2 Gd 3.09-3.11
I2 0.3989 0.3989 0.6501  4 Gd 3.39, 4 O 3.51-3.70
I3 0.6011 0.6011 0.3499  4 Gd 3.39, 4 O 3.51-3.70
I4 0.9240 0.9240 0.1581  2 Gd 3.09-3.11
O1 0.2534 0.2534 0.8786  4 Gd 2.27-2.30
O2 0.2547 0.2547 0.3725  4 Gd 2.26-2.30
O3 0.7453 0.7453 0.6275  4 Gd 2.26-2.30
O4 0.7466 0.7466 0.1214  4 Gd 2.27-2.30

An optimized crystal structure of Gd3IO4, computed with PBE-GGA.

Summary:
VASP energy (eV/atom): -7.55
Theoretical density (Mg/m³): 7.514
Space-group type: No. 123

a b c (Å): 3.9649 3.9649 9.3159
angles (deg): 90.00 90.00 90.00
Closest atoms and distances in Å follow each position.
Fractional positions:
Gd1 0.0000 0.0000 0.0000  8 O 2.42
Gd2 0.5000 0.5000 0.2510  4 O 2.20
Gd3 0.5000 0.5000 0.7490  4 O 2.20
I1 0.0000 0.0000 0.5000  8 Gd 3.64, 8 O 3.82, 4 I 3.96
O1 0.0000 0.5000 0.1498  4 Gd 2.20-2.42
O2 0.0000 0.5000 0.8502  4 Gd 2.20-2.42
O3 0.5000 0.0000 0.1498  4 Gd 2.20-2.42
O4 0.5000 0.0000 0.8502  4 Gd 2.20-2.42

An optimized crystal structure of PmGdI2O2, computed with PBE-GGA.

Summary:
VASP energy (eV/atom): -6.44
Theoretical density (Mg/m³): 6.557
Space-group type: No. 99

a b c (Å): 4.0071 4.0071 9.2745
angles (deg): 90.00 90.00 90.00
Closest atoms and distances in Å follow each position.
Fractional positions:
Pm1 0.0000 0.0000 0.0000  4 O 2.32
Gd1 0.5000 0.5000 0.2450  4 O 2.28
I1 0.0000 0.0000 0.4493  4 Gd 3.41, 4 O 3.60
I2 0.5000 0.5000 0.7946  4 Pm 3.41, 4 O 3.67
O1 0.0000 0.5000 0.1266  2 Gd 2.28, 2 Pm 2.32
O2 0.5000 0.0000 0.1266  2 Gd 2.28, 2 Pm 2.32

An optimized crystal structure of Gd5Se2I3O10, computed with PBE-GGA.

Summary:
VASP energy (eV/atom): -6.61
Theoretical density (Mg/m³): 7.018
Space-group type: No. 12

a b c (Å): 6.7902 6.7902 10.2905
angles (deg): 93.49 93.49 47.91
Closest atoms and distances in Å follow each position.
Fractional positions:
Gd1 0.0000 0.0000 0.0000  8 O 2.35-2.47
Gd2 0.2952 0.2952 0.0985  4 O 2.25-2.31
Gd3 0.3873 0.3873 0.7776  5 O 2.23-2.40
Gd4 0.6127 0.6127 0.2224  5 O 2.23-2.40
Gd5 0.7048 0.7048 0.9015  4 O 2.25-2.31
Se1 0.0742 0.0742 0.6996  3 O 1.69-1.78
Se2 0.9258 0.9258 0.3004  3 O 1.69-1.78
I1 0.1888 0.1888 0.3771  3 Gd 3.24-3.29, 1 Se 3.31, 6 O 3.32-3.58
I2 0.5000 0.5000 0.5000  2 Gd 3.26, 4 O 3.48, 4 Se 3.52
I3 0.8112 0.8112 0.6229  3 Gd 3.24-3.29, 1 Se 3.31, 6 O 3.32-3.58
O1 0.1030 0.5999 0.9432  4 Gd 2.25-2.35
O2 0.1971 0.7193 0.1931  1 Se 1.78
O3 0.2080 0.2080 0.7441  1 Se 1.69
O4 0.2807 0.8029 0.8069  1 Se 1.78
O5 0.4001 0.8970 0.0568  4 Gd 2.25-2.35
O6 0.5999 0.1030 0.9432  4 Gd 2.25-2.35
O7 0.7193 0.1971 0.1931  1 Se 1.78
O8 0.7920 0.7920 0.2559  1 Se 1.69
O9 0.8029 0.2807 0.8069  1 Se 1.78
O10 0.8970 0.4001 0.0568  4 Gd 2.25-2.35

An optimized crystal structure of SmGdI2O2, computed with PBE-GGA.

Summary:
VASP energy (eV/atom): -6.43
Theoretical density (Mg/m³): 6.645
Space-group type: No. 99

a b c (Å): 4.0000 4.0000 9.2689
angles (deg): 90.00 90.00 90.00
Closest atoms and distances in Å follow each position.
Fractional positions:
Sm1 0.0000 0.0000 0.0000  4 O 2.31
Gd1 0.5000 0.5000 0.7549  4 O 2.29
I1 0.0000 0.0000 0.5491  4 Gd 3.41, 4 O 3.62
I2 0.5000 0.5000 0.2063  4 Sm 3.41, 4 O 3.67
O1 0.0000 0.5000 0.8748  2 Gd 2.29, 2 Sm 2.31
O2 0.5000 0.0000 0.8748  2 Gd 2.29, 2 Sm 2.31

An optimized crystal structure of GdYI2O2, computed with PBE-GGA.

Summary:
VASP energy (eV/atom): -6.73
Theoretical density (Mg/m³): 6.091
Space-group type: No. 99

a b c (Å): 3.9542 3.9542 9.2746
angles (deg): 90.00 90.00 90.00
Closest atoms and distances in Å follow each position.
Fractional positions:
Gd1 0.0000 0.0000 0.0000  4 O 2.27
Y1 0.5000 0.5000 0.7615  4 O 2.26
I1 0.0000 0.0000 0.5570  4 Y 3.38, 4 O 3.58
I2 0.5000 0.5000 0.2043  4 Gd 3.38, 4 O 3.61
O1 0.0000 0.5000 0.8790  2 Y 2.26, 2 Gd 2.27
O2 0.5000 0.0000 0.8790  2 Y 2.26, 2 Gd 2.27

An optimized crystal structure of Gd5Pb3I, computed with PBE-GGA.

Summary:
VASP energy (eV/atom): -4.65
Theoretical density (Mg/m³): 9.638
Space-group type: No. 193

a b c (Å): 9.4216 9.4216 6.8797
angles (deg): 90.00 90.00 120.00
Closest atoms and distances in Å follow each position.
Fractional positions:
Gd1 0.0000 0.2752 0.2500  2 I 3.11, 3 Pb 3.19-3.25
Gd2 0.0000 0.7248 0.7500  2 I 3.11, 3 Pb 3.19-3.25
Gd3 0.2752 0.0000 0.2500  2 I 3.11, 3 Pb 3.19-3.25
Gd4 0.2752 0.2752 0.7500  2 I 3.11, 3 Pb 3.19-3.25
Gd5 0.3333 0.6667 0.0000  6 Pb 3.39, 2 Gd 3.44
Gd6 0.3333 0.6667 0.5000  6 Pb 3.39, 2 Gd 3.44
Gd7 0.6667 0.3333 0.0000  6 Pb 3.39, 2 Gd 3.44
Gd8 0.6667 0.3333 0.5000  6 Pb 3.39, 2 Gd 3.44
Gd9 0.7248 0.0000 0.7500  2 I 3.11, 3 Pb 3.19-3.25
Gd10 0.7248 0.7248 0.2500  2 I 3.11, 3 Pb 3.19-3.25
Pb1 0.0000 0.3867 0.7500  7 Gd 3.19-3.39
Pb2 0.0000 0.6133 0.2500  7 Gd 3.19-3.39
Pb3 0.3867 0.0000 0.7500  7 Gd 3.19-3.39
Pb4 0.3867 0.3867 0.2500  7 Gd 3.19-3.39
Pb5 0.6133 0.0000 0.2500  7 Gd 3.19-3.39
Pb6 0.6133 0.6133 0.7500  7 Gd 3.19-3.39
I1 0.0000 0.0000 0.0000  6 Gd 3.11, 2 I 3.44
I2 0.0000 0.0000 0.5000  6 Gd 3.11, 2 I 3.44

An optimized crystal structure of GdSbPbI2, computed with PBE-GGA.

Summary:
VASP energy (eV/atom): -3.96
Theoretical density (Mg/m³): 6.143
Space-group type: No. 156

a b c (Å): 4.4792 4.4792 11.5133
angles (deg): 90.00 90.00 120.00
Closest atoms and distances in Å follow each position.
Fractional positions:
Gd1 0.0000 0.0000 0.0000  3 Sb 3.07, 3 I 3.22
Sb1 0.6667 0.3333 0.1440  3 Gd 3.07, 3 Pb 3.24
Pb1 0.3333 0.6667 0.3138  3 Sb 3.24, 3 I 3.28
I1 0.0000 0.0000 0.4895  3 Pb 3.28
I2 0.3333 0.6667 0.8337  3 Gd 3.22

An optimized crystal structure of PmGd3I, computed with PBE-GGA.

Summary:
VASP energy (eV/atom): -3.95
Theoretical density (Mg/m³): 6.615
Space-group type: No. 221

a b c (Å): 5.7151 5.7151 5.7151
angles (deg): 90.00 90.00 90.00
Closest atoms and distances in Å follow each position.
Fractional positions:
Pm1 0.0000 0.0000 0.0000  12 Gd 4.04
Gd1 0.0000 0.5000 0.5000  2 I 2.86
Gd2 0.5000 0.0000 0.5000  2 I 2.86
Gd3 0.5000 0.5000 0.0000  2 I 2.86
I1 0.5000 0.5000 0.5000  6 Gd 2.86